Below is AgHg2Pb at its PBEsol-relaxed geometry, with properties calculated at the SCAN level.

a = 3.1970 Å, b = 3.8696 Å, c = 7.3796 Å
α = 90.00°, β = 90.00°, γ = 90.00°
Positions (direct):
1 Pb 0.0000 0.0000 0.5218
2 Hg 0.0000 0.0000 0.9795
3 Hg 0.5000 0.5000 0.2274
4 Ag 0.5000 0.5000 0.7713

Its magnetic moment is 0.0 μB per cell. The formation energy is 0.090 eV/atom.

***

Below is Ag3HgPb at its PBEsol-relaxed geometry, with properties calculated at the SCAN level.

a = 5.0957 Å, b = 5.0957 Å, c = 5.0957 Å
α = 90.00°, β = 90.00°, γ = 90.00°
Positions (direct):
1 Pb 0.5000 0.5000 0.5000
2 Hg 0.0000 0.0000 0.0000
3 Ag 0.0000 0.5000 0.0000
4 Ag 0.0000 0.0000 0.5000
5 Ag 0.5000 0.0000 0.0000

Its magnetic moment is 0.0 μB per cell. The formation energy is 0.572 eV/atom.